First-principles (PBE-GGA) data for a relaxed AlRe2Ru crystal, as listed in Alexandria via LeMat-Bulk.

Cell and atoms, written as extended XYZ:
```
4
Lattice="-1.530 2.127 4.417 1.530 -2.127 4.417 1.530 2.127 -4.417" Properties=species:S:1:pos:R:3 pbc="T T T"
Al 0.000 0.000 0.000
Re 1.530 0.000 2.147
Re 0.000 2.127 2.270
Ru 0.000 0.000 4.417
```

Values from the calculation:
Symmetry   No. 71
Spin magnetization   0.0 μB per cell
Formation enthalpy at 0 K   -171 meV per atom
Calculated volume   14.4 Å³ per atom